Entry 1:
First-principles (PBE-GGA) data for a relaxed Ce3Zn3Au8 crystal, as listed in Alexandria.

The value obtained for the total DFT energy (no corrections) is -3.96 eV/atom. As for the total magnetization: 5.8 Bohr magnetons per cell.

It has space group C2/m (No. 12), with a = 16.290 Å, b = 4.696 Å, c = 9.050 Å, α = 90.00°, β = 122.84° and γ = 90.00°. The asymmetric unit holds Ce at (0.000, 0.000, 0.000), Ce at (0.208, 0.500, 0.721), Zn at (0.000, 0.000, 0.500), Zn at (0.168, 0.500, 0.329), Au at (0.005, 0.500, 0.332), Au at (0.132, 0.000, 0.840), Au at (0.138, 0.000, 0.427) and Au at (0.152, 0.500, 0.033).



Entry 2:
First-principles (PBE-GGA) data for a relaxed PmTm2SbO8 crystal, as listed in Alexandria.

The value obtained for the total DFT energy (no corrections) is -7.27 eV/atom. As for the total magnetization: 2.0 Bohr magnetons per cell.

It has space group P2/m (No. 10), with a = 4.070 Å, b = 7.350 Å, c = 5.202 Å, α = 90.00°, β = 94.07° and γ = 90.00°. The asymmetric unit holds Pm at (0.000, 0.000, 0.000), Tm at (0.500, 0.257, 0.500), Sb at (0.000, 0.500, 0.000), O at (0.050, 0.285, 0.754), O at (0.427, 0.500, 0.224) and O at (0.496, 0.000, 0.261).



Entry 3:
First-principles (PBE-GGA) data for a relaxed Rb2CaMgP2 crystal, as listed in Alexandria.

The value obtained for the total DFT energy (no corrections) is -3.41 eV/atom. As for the total magnetization: 0.0 Bohr magnetons per cell.

It has space group Ibam (No. 72), with a = 6.833 Å, b = 15.594 Å, c = 6.822 Å, α = 90.00°, β = 90.00° and γ = 90.00°. The asymmetric unit holds Rb at (0.228, 0.183, 0.000), Ca at (0.000, 0.500, 0.250), Mg at (0.000, 0.000, 0.250) and P at (0.230, 0.088, 0.500).



Entry 4:
First-principles (PBE-GGA) data for a relaxed Cr2CuN crystal, as listed in Alexandria.

The value obtained for the total DFT energy (no corrections) is -7.72 eV/atom. As for the total magnetization: 0.0 Bohr magnetons per cell.

It has space group R-3m (No. 166, hexagonal axes), with a = 2.6554 Å, b = 2.6554 Å, c = 22.2118 Å, α = 90.00°, β = 90.00° and γ = 120.00°. The asymmetric unit holds Cr at (0.0000, 0.0000, 0.1133), Cu at (0.0000, 0.0000, 0.0000) and N at (0.0000, 0.0000, 0.5000).



Entry 5:
First-principles (PBE-GGA) data for a relaxed Be2CdSeO6 crystal, as listed in Alexandria.

The value obtained for the total DFT energy (no corrections) is -5.59 eV/atom. As for the total magnetization: 0.0 Bohr magnetons per cell.

It has space group C2/c (No. 15), with a = 9.208 Å, b = 8.587 Å, c = 5.761 Å, α = 90.00°, β = 108.88° and γ = 90.00°. The asymmetric unit holds Be at (0.191, 0.073, 0.120), Cd at (0.000, 0.406, 0.250), Se at (0.000, 0.213, 0.750), O at (0.063, 0.206, 0.072), O at (0.133, 0.377, 0.722) and O at (0.157, 0.064, 0.803).



Entry 6:
First-principles (PBE-GGA) data for a relaxed CrCo14Ni crystal, as listed in Alexandria.

The value obtained for the total DFT energy (no corrections) is -7.15 eV/atom. As for the total magnetization: 20.1 Bohr magnetons per cell.

It has space group P4/mmm (No. 123), with a = 4.971 Å, b = 4.971 Å, c = 7.097 Å, α = 90.00°, β = 90.00° and γ = 90.00°. The asymmetric unit holds Cr at (0.000, 0.000, 0.000), Co at (0.000, 0.000, 0.500), Co at (0.000, 0.500, 0.000), Co at (0.000, 0.500, 0.500), Co at (0.251, 0.251, 0.251), Co at (0.500, 0.500, 0.500) and Ni at (0.500, 0.500, 0.000).



Entry 7:
First-principles (PBE-GGA) data for a relaxed Cs2AsF4 crystal, as listed in Alexandria.

The value obtained for the total DFT energy (no corrections) is -4.13 eV/atom. As for the total magnetization: 0.0 Bohr magnetons per cell.

It has space group I4/mmm (No. 139), with a = 4.719 Å, b = 4.719 Å, c = 14.344 Å, α = 90.00°, β = 90.00° and γ = 90.00°. The asymmetric unit holds Cs at (0.000, 0.000, 0.142), As at (0.000, 0.000, 0.500), F at (0.000, 0.000, 0.354) and F at (0.000, 0.500, 0.000).



Entry 8:
First-principles (PBE-GGA) data for a relaxed AcInPt crystal, as listed in Alexandria.

The energy above the lowest structure with this stoichiometry comes out at 0 meV per atom. As for the total magnetization: 0.0 Bohr magnetons per cell.

It has space group P2_1/m (No. 11), with a = 7.804 Å, b = 4.510 Å, c = 13.277 Å, α = 90.00°, β = 90.92° and γ = 90.00°. The asymmetric unit holds Ac at (0.040, 0.250, 0.377), Ac at (0.155, 0.250, 0.081), Ac at (0.455, 0.750, 0.713), In at (0.130, 0.250, 0.798), In at (0.363, 0.750, 0.458), In at (0.496, 0.750, 0.084), Pt at (0.244, 0.750, 0.246), Pt at (0.257, 0.250, 0.583) and Pt at (0.262, 0.750, 0.911).